Here is a relaxed structure of Mg2TeOs from Alexandria via LeMat-Bulk. Energies are from GGA-PBEsol.

The structure in CIF format:
```
data_Mg2TeOs
_cell_length_a 3.0781
_cell_length_b 3.0781
_cell_length_c 8.5375
_cell_angle_alpha 90.00
_cell_angle_beta 90.00
_cell_angle_gamma 90.00
_space_group_name_H-M_alt 'P 4/m m m'
_space_group_IT_number 123
_space_group_name_Hall '-P 4 2'
loop_
_atom_site_label
_atom_site_fract_x
_atom_site_fract_y
_atom_site_fract_z
_atom_site_occupancy
Mg1 0.0000 0.0000 0.1889 1
Te1 0.5000 0.5000 0.5000 1
Os1 0.5000 0.5000 0.0000 1
```

Values from the calculation:
* volume: 80.89 Å³/cell
* formation energy (no corrections): 0.187 eV per atom